A plane-wave DFT calculation with PBE-GGA was carried out for an optimized crystal structure of Sc2BeF.

For the total magnetization, the calculation gives 0.0 μB per formula unit. As for the formation energy from raw total energies: -0.783 eV per atom. For the distance to the lowest polymorph of the same formula, the calculation gives 5.96 kcal/mol of atoms. Its energy is -5.348 eV per atom.

The space group is I-42d (No. 122) and the conventional cell measures 5.180, 5.180 and 11.086 Å, with angles of 90.00, 90.00 and 90.00 degrees. The inequivalent atoms are Sc at (0.202, 0.250, 0.125), Be at (0.000, 0.000, 0.500) and F at (0.000, 0.000, 0.000).

A plane-wave DFT calculation with PBE-GGA was carried out for an optimized crystal structure of ScBeF3.

For the total magnetization, the calculation gives 1.7 μB per formula unit. As for the formation energy from raw total energies: -2.090 eV per atom. For the distance to the lowest polymorph of the same formula, the calculation gives 4.86 kcal/mol of atoms. Its energy is -5.224 eV per atom.

The space group is Pm-3m (No. 221) and the conventional cell measures 3.762, 3.762 and 3.762 Å, with angles of 90.00, 90.00 and 90.00 degrees. The inequivalent atoms are Sc at (0.000, 0.000, 0.000), Be at (0.500, 0.500, 0.500) and F at (0.000, 0.500, 0.500).

A plane-wave DFT calculation with PBE-GGA was carried out for an optimized crystal structure of Sc2BeF.

For the total magnetization, the calculation gives 0.0 μB per formula unit. As for the formation energy from raw total energies: -1.041 eV per atom. For the distance to the lowest polymorph of the same formula, the calculation gives 0.00 kcal/mol of atoms. Its energy is -5.606 eV per atom.

The space group is R-3m (No. 166, hexagonal axes) and the conventional cell measures 3.3689, 3.3689 and 22.7678 Å, with angles of 90.00, 90.00 and 120.00 degrees. The inequivalent atoms are Sc at (0.0000, 0.0000, 0.0896), Be at (0.0000, 0.0000, 0.5000) and F at (0.0000, 0.0000, 0.0000).

A plane-wave DFT calculation with PBE-GGA was carried out for an optimized crystal structure of ScBe2F2.

For the total magnetization, the calculation gives 0.9 μB per formula unit. As for the formation energy from raw total energies: -0.883 eV per atom. For the distance to the lowest polymorph of the same formula, the calculation gives 0.00 kcal/mol of atoms. Its energy is -4.389 eV per atom.

The space group is I4/mmm (No. 139) and the conventional cell measures 3.624, 3.624 and 8.817 Å, with angles of 90.00, 90.00 and 90.00 degrees. The inequivalent atoms are Sc at (0.000, 0.000, 0.000), Be at (0.000, 0.000, 0.388) and F at (0.000, 0.500, 0.250).